First-principles (PBE) data for a geometry-optimized K2AcTeO6 structure, as listed in Alexandria.

## Properties
Electronic total energy = -5.755 eV per atom
D(E_F) = 13.0 states/eV/cell
ΔE_f (raw) = -1.84 eV per atom

The structure in CIF format:
```
data_K2AcTeO6
_chemical_formula_sum 'K4 Ac2 Te2 O12'
_cell_length_a 6.2253
_cell_length_b 6.2231
_cell_length_c 10.7794
_cell_angle_alpha 90.00
_cell_angle_beta 125.26
_cell_angle_gamma 90.00
_symmetry_space_group_name_H-M 'P 1 21/c 1'
_symmetry_Int_Tables_number 14
loop_
_symmetry_equiv_pos_as_xyz
'x,y,z'
'-x,-y,-z'
'-x,y+1/2,-z+1/2'
'x,-y+1/2,z+1/2'
loop_
_atom_site_label
_atom_site_type_symbol
_atom_site_fract_x
_atom_site_fract_y
_atom_site_fract_z
_atom_site_occupancy
K1 K 0.2502 0.9998 0.2501 1
Ac1 Ac 0.0000 0.0000 0.5000 1
Te1 Te 0.5000 0.0000 0.0000 1
O1 O 0.2739 0.0002 0.7785 1
O2 O 0.2802 0.2207 0.0025 1
O3 O 0.2817 0.7224 0.5023 1
```